Density functional theory data (PBE) for a relaxed Au3OF crystal.

CIF file:
```
data_Au3OF
_cell_length_a 4.435
_cell_length_b 4.435
_cell_length_c 4.435
_cell_angle_alpha 90.00
_cell_angle_beta 90.00
_cell_angle_gamma 90.00
_space_group_name_H-M_alt 'P m -3 m'
_space_group_IT_number 221
_space_group_name_Hall '-P 4 2 3'
loop_
_atom_site_label
_atom_site_type_symbol
_atom_site_fract_x
_atom_site_fract_y
_atom_site_fract_z
Au1 Au 0.000 0.000 0.500
O1 O 0.000 0.000 0.000
F1 F 0.500 0.500 0.500
```

Calculated values
uncorrected formation energy = 24.7 kJ/mol of atoms
polymorph energy (0 for the lowest one) = 0 meV/atom
crystal system = cubic
total moment = 0.00 μB per formula unit

Density functional theory data (PBE) for a relaxed Ti5Zn2Sn crystal.

CIF file:
```
data_Ti5Zn2Sn
_cell_length_a 6.987
_cell_length_b 6.987
_cell_length_c 11.405
_cell_angle_alpha 90.00
_cell_angle_beta 90.00
_cell_angle_gamma 90.00
_space_group_name_H-M_alt 'I 4/m c m'
_space_group_IT_number 140
_space_group_name_Hall '-I 4 2c'
loop_
_atom_site_label
_atom_site_type_symbol
_atom_site_fract_x
_atom_site_fract_y
_atom_site_fract_z
Ti1 Ti 0.000 0.000 0.000
Ti2 Ti 0.155 0.345 0.155
Zn1 Zn 0.138 0.362 0.500
Sn1 Sn 0.000 0.000 0.250
```

Calculated values
polymorph energy (0 for the lowest one) = 86 meV/atom
crystal system = tetragonal
total moment = 3.55 μB per formula unit
formation enthalpy at 0 K = -0.1445 eV per atom

Density functional theory data (PBE) for a relaxed PmSm5Cd2 crystal.

CIF file:
```
data_PmSm5Cd2
_cell_length_a 3.671
_cell_length_b 10.756
_cell_length_c 12.643
_cell_angle_alpha 90.00
_cell_angle_beta 90.00
_cell_angle_gamma 90.00
_space_group_name_H-M_alt 'I m m m'
_space_group_IT_number 71
_space_group_name_Hall '-I 2 2'
loop_
_atom_site_label
_atom_site_type_symbol
_atom_site_fract_x
_atom_site_fract_y
_atom_site_fract_z
Pm1 Pm 0.000 0.000 0.000
Sm1 Sm 0.000 0.222 0.363
Sm2 Sm 0.000 0.500 0.000
Cd1 Cd 0.000 0.500 0.266
```

Calculated values
crystal system = orthorhombic
total moment = 0.00 μB per formula unit
formation enthalpy at 0 K = -0.0804 eV per atom

Density functional theory data (PBE) for a relaxed MnCrCuRu crystal.

CIF file:
```
data_MnCrCuRu
_cell_length_a 5.894
_cell_length_b 5.894
_cell_length_c 5.894
_cell_angle_alpha 90.00
_cell_angle_beta 90.00
_cell_angle_gamma 90.00
_space_group_name_H-M_alt 'F -4 3 m'
_space_group_IT_number 216
_space_group_name_Hall 'F -4 2 3'
loop_
_atom_site_label
_atom_site_type_symbol
_atom_site_fract_x
_atom_site_fract_y
_atom_site_fract_z
Mn1 Mn 0.000 0.000 0.000
Cr1 Cr 0.250 0.250 0.750
Cu1 Cu 0.250 0.250 0.250
Ru1 Ru 0.000 0.000 0.500
```

Calculated values
crystal system = cubic
total moment = 1.94 μB per formula unit
formation enthalpy at 0 K = 0.1657 eV per atom

What did the second record say?
Density functional theory data (PBE) for a relaxed Ti5Zn2Sn crystal.

CIF file:
```
data_Ti5Zn2Sn
_cell_length_a 6.987
_cell_length_b 6.987
_cell_length_c 11.405
_cell_angle_alpha 90.00
_cell_angle_beta 90.00
_cell_angle_gamma 90.00
_space_group_name_H-M_alt 'I 4/m c m'
_space_group_IT_number 140
_space_group_name_Hall '-I 4 2c'
loop_
_atom_site_label
_atom_site_type_symbol
_atom_site_fract_x
_atom_site_fract_y
_atom_site_fract_z
Ti1 Ti 0.000 0.000 0.000
Ti2 Ti 0.155 0.345 0.155
Zn1 Zn 0.138 0.362 0.500
Sn1 Sn 0.000 0.000 0.250
```

Calculated values
polymorph energy (0 for the lowest one) = 86 meV/atom
crystal system = tetragonal
total moment = 3.55 μB per formula unit
formation enthalpy at 0 K = -0.1445 eV per atom